[1]
AlIr3: relaxed, PBE.

Computed properties:
* calculated total energy: -7.966 eV per atom
* formation enthalpy at 0 K: -0.3849 eV/atom
* volume: 57.38 Å³/f.u.
* symmetry: C2/m (12)

Cell lengths 4.732, 4.732, 4.689 Å; angles 101.68, 101.68, 33.99 degrees
Positions (direct):
Al 0.000 0.000 0.000
Ir 0.256 0.256 0.748
Ir 0.500 0.500 0.500
Ir 0.744 0.744 0.252

[2]
PuPOs: relaxed, PBE.

Computed properties:
* calculated total energy: -10.505 eV per atom
* formation enthalpy at 0 K: -0.1807 eV/atom
* volume: 48.68 Å³/f.u.
* symmetry: C2/m (12)

Cell lengths 5.045, 5.045, 6.508 Å; angles 121.10, 121.10, 45.16 degrees
Positions (direct):
Pu 0.219 0.219 0.376
Pu 0.781 0.781 0.624
P 0.112 0.112 0.724
P 0.888 0.888 0.276
Os 0.399 0.399 0.098
Os 0.601 0.601 0.902

[3]
ReSiPt2: relaxed, PBE.

Computed properties:
* calculated total energy: -7.643 eV per atom
* volume: 60.16 Å³/f.u.
* symmetry: Imm2 (44)
* formation energy without anion corrections: -3.57 kcal/mol of atoms

Cell lengths 5.645, 5.645, 5.645 Å; angles 151.36, 135.46, 53.82 degrees
Positions (direct):
Re 0.000 0.000 0.000
Si 0.200 0.700 0.500
Pt 0.403 0.403 0.000
Pt 0.711 0.211 0.500

[4]
La12TlNi5: relaxed, PBE.

Computed properties:
* calculated total energy: -5.287 eV per atom
* formation enthalpy at 0 K: -0.2649 eV/atom
* volume: 523.85 Å³/f.u.
* symmetry: Immm (71)

Cell lengths 8.805, 8.805, 8.805 Å; angles 112.48, 109.76, 106.23 degrees
Positions (direct):
La 0.014 0.200 0.814
La 0.178 0.306 0.484
La 0.178 0.694 0.873
La 0.326 0.015 0.689
La 0.326 0.637 0.311
La 0.386 0.200 0.186
La 0.614 0.800 0.814
La 0.674 0.363 0.689
La 0.674 0.985 0.311
La 0.822 0.306 0.127
La 0.822 0.694 0.516
La 0.986 0.800 0.186
Tl 0.500 0.500 0.000
Ni 0.000 0.000 0.000
Ni 0.126 0.626 0.500
Ni 0.366 0.000 0.366
Ni 0.634 0.000 0.634
Ni 0.874 0.374 0.500